(1)
A plane-wave DFT calculation with GGA-PBEsol was carried out for a geometry-optimized LaNiPb2 structure.

space-group type = F-43m, No. 216
formation enthalpy at 0 K = -0.023 eV/atom
electronic total energy = -4.898 eV/atom

Unit cell a=5.1715 b=5.1715 c=5.1715 alpha=60.00 beta=60.00 gamma=60.00
Fractional positions:
La: 0.0000 0.0000 0.0000
Ni: 0.2500 0.2500 0.2500
Pb: 0.5000 0.5000 0.5000
Pb: 0.7500 0.7500 0.7500

---

(2)
A plane-wave DFT calculation with GGA-PBEsol was carried out for a geometry-optimized LaNiPb3 structure.

space-group type = Pm-3m, No. 221
formation enthalpy at 0 K = 1.403 eV/atom
electronic total energy = -3.297 eV/atom

Unit cell a=5.9613 b=5.9613 c=5.9613 alpha=90.00 beta=90.00 gamma=90.00
Fractional positions:
La: 0.0000 0.0000 0.0000
Ni: 0.5000 0.5000 0.5000
Pb: 0.0000 0.0000 0.5000
Pb: 0.0000 0.5000 0.0000
Pb: 0.5000 0.0000 0.0000

---

(3)
A plane-wave DFT calculation with GGA-PBEsol was carried out for a geometry-optimized La2Ni2Pd structure.

space-group type = P4/mbm, No. 127
formation enthalpy at 0 K = -0.431 eV/atom
electronic total energy = -6.224 eV/atom

Unit cell a=7.1324 b=7.1324 c=3.8424 alpha=90.00 beta=90.00 gamma=90.00
Fractional positions:
La: 0.1824 0.3176 0.0000
La: 0.3176 0.8176 0.0000
La: 0.6824 0.1824 0.0000
La: 0.8176 0.6824 0.0000
Ni: 0.1196 0.6196 0.5000
Ni: 0.3804 0.1196 0.5000
Ni: 0.6196 0.8804 0.5000
Ni: 0.8804 0.3804 0.5000
Pd: 0.0000 0.0000 0.5000
Pd: 0.5000 0.5000 0.5000

---

(4)
A plane-wave DFT calculation with GGA-PBEsol was carried out for a geometry-optimized LaNi3Pt structure.

space-group type = Pm-3m, No. 221
formation enthalpy at 0 K = 1.374 eV/atom
electronic total energy = -4.782 eV/atom

Unit cell a=4.4844 b=4.4844 c=4.4844 alpha=90.00 beta=90.00 gamma=90.00
Fractional positions:
La: 0.0000 0.0000 0.0000
Ni: 0.0000 0.0000 0.5000
Ni: 0.0000 0.5000 0.0000
Ni: 0.5000 0.0000 0.0000
Pt: 0.5000 0.5000 0.5000

---

(5)
A plane-wave DFT calculation with GGA-PBEsol was carried out for a geometry-optimized LaNi4Pt structure.

space-group type = Cmmm, No. 65
formation enthalpy at 0 K = -0.439 eV/atom
electronic total energy = -6.596 eV/atom

Unit cell a=5.1006 b=5.1006 c=3.9744 alpha=90.00 beta=90.00 gamma=122.87
Fractional positions:
La: 0.0000 0.0000 0.0000
Ni: 0.0000 0.5000 0.5000
Ni: 0.3174 0.6826 0.0000
Ni: 0.5000 0.0000 0.5000
Ni: 0.6826 0.3174 0.0000
Pt: 0.5000 0.5000 0.5000

---

(6)
A plane-wave DFT calculation with GGA-PBEsol was carried out for a geometry-optimized Rb2LaNiW structure.

space-group type = P4/mmm, No. 123
formation enthalpy at 0 K = 1.727 eV/atom
electronic total energy = -3.746 eV/atom

Unit cell a=5.8028 b=5.8028 c=5.2699 alpha=90.00 beta=90.00 gamma=90.00
Fractional positions:
Rb: 0.0000 0.5000 0.0000
Rb: 0.5000 0.0000 0.0000
La: 0.0000 0.0000 0.5000
Ni: 0.0000 0.0000 0.0000
W: 0.5000 0.5000 0.5000